The following is a SCAN calculation of LiTaPdSe2 at its PBEsol-relaxed geometry, from the Alexandria database.

```
5
Lattice="-2.388 2.893 -1.368 1.112 -1.091 -4.250 -3.453 -2.923 -0.154" Properties=species:S:1:pos:R:3 pbc="T T T"
Li 0.000 0.000 0.000
Se -1.726 -1.461 -0.077
Se 0.556 -0.545 -2.125
Pd -1.194 1.447 -0.684
Ta -2.364 -0.560 -2.886
```

* crystal system: tetragonal
* formation energy from raw total energies: 0.47 eV/atom